CrTeI2Br: optimized geometry, PBE.

## Properties
- E above lowest polymorph (meV/atom) = 0
- magnetization (Bohr magnetons per cell) = 2.0
- E_form (uncorrected) (eV per atom) = 0.175
- DFT total energy (eV per atom) = -3.333

Lattice parameters (Å, degrees): 5.4653 5.4653 5.2971 90.00 90.00 90.00
With the nearest neighbours (Å) after each atom.
Space group P4/mmm (No. 123)
One atom of each set of equivalent atoms:
1 Cr 0.0000 0.0000 0.0000 x1  2 Te 2.65, 4 I 2.73
2 Te 0.0000 0.0000 0.5000 x1  2 Cr 2.65
3 I 0.0000 0.5000 0.0000 x2  2 Cr 2.73
4 Br 0.5000 0.5000 0.5000 x1  8 I 3.81, 4 Te 3.86